VASP calculation (PBEsol) on a relaxed structure of TlHg2Pb.

Cell: 3.433 5.383 5.721 Å, 90.00 90.00 90.00°
Fractional coordinates of all 4 atoms:
Tl 0.000 0.000 0.000
Hg 0.000 0.500 0.500
Hg 0.500 0.500 0.000
Pb 0.500 0.000 0.500

Values from the calculation:
Calculated formation energy (eV/atom): 0.023
Crystal system: orthorhombic
Energy (eV per cell): -7.67
Space-group type: Pmmm, No. 47
Total magnetic moment (μB per formula unit): 0.0

---

VASP calculation (PBEsol) on a relaxed structure of TlHg2Pb.

Cell: 3.702 3.702 7.606 Å, 90.00 90.00 90.00°
Fractional coordinates of all 4 atoms:
Tl 0.000 0.000 0.000
Hg 0.000 0.000 0.458
Hg 0.500 0.500 0.244
Pb 0.500 0.500 0.709

Values from the calculation:
Calculated formation energy (eV/atom): 0.011
Crystal system: tetragonal
Energy (eV per cell): -7.72
Space-group type: P4mm, No. 99
Total magnetic moment (μB per formula unit): 0.0

---

VASP calculation (PBEsol) on a relaxed structure of TlHg2Pb.

Cell: 3.296 5.224 6.167 Å, 90.00 96.67 90.00°
Fractional coordinates of all 4 atoms:
Tl 0.000 0.000 0.000
Hg 0.255 0.500 0.749
Hg 0.745 0.500 0.251
Pb 0.500 0.000 0.500

Values from the calculation:
Calculated formation energy (eV/atom): 0.019
Crystal system: monoclinic
Energy (eV per cell): -7.69
Space-group type: P2/m, No. 10
Total magnetic moment (μB per formula unit): 0.0

---

VASP calculation (PBEsol) on a relaxed structure of TlHg2Pb.

Cell: 6.334 6.334 6.334 Å, 147.14 130.36 60.82°
Fractional coordinates of all 4 atoms:
Tl 0.000 0.000 0.000
Hg 0.250 0.750 0.500
Hg 0.480 0.480 0.000
Pb 0.731 0.231 0.500

Values from the calculation:
Calculated formation energy (eV/atom): 0.001
Crystal system: orthorhombic
Energy (eV per cell): -7.76
Space-group type: Imm2, No. 44
Total magnetic moment (μB per formula unit): 0.0

---

VASP calculation (PBEsol) on a relaxed structure of HgPbW2.

Cell: 5.676 5.676 5.676 Å, 146.22 129.52 62.12°
Fractional coordinates of all 4 atoms:
Hg 0.000 0.000 0.000
Pb 0.276 0.776 0.500
W 0.542 0.542 0.000
W 0.736 0.236 0.500

Values from the calculation:
Calculated formation energy (eV/atom): 0.901
Crystal system: orthorhombic
Energy (eV per cell): -28.58
Relative energy among the computed polymorphs (meV per atom): 0
Space-group type: Imm2, No. 44
Total magnetic moment (μB per formula unit): 0.0

---

VASP calculation (PBEsol) on a relaxed structure of HgPbW2.

Cell: 9.627 9.627 9.627 Å, 17.93 17.93 17.93°
Fractional coordinates of all 4 atoms:
Hg 0.000 0.000 0.000
Pb 0.500 0.500 0.500
W 0.251 0.251 0.251
W 0.749 0.749 0.749

Values from the calculation:
Calculated formation energy (eV/atom): 1.014
Crystal system: trigonal
Energy (eV per cell): -28.13
Relative energy among the computed polymorphs (meV per atom): 113
Space-group type: R-3m, No. 166
Total magnetic moment (μB per formula unit): 0.0